# Sr3AlFe2O9

A relaxed Sr3AlFe2O9 crystal (GGA+U, Alexandria via LeMat-Bulk).

Calculated values
The total energy comes out at -96.8 eV for the cell shown. The space-group type is P-3m1, No. 164.

Cell: 5.503 5.503 6.732 Å, 90.00 90.00 120.00°
Fractional positions:
1 Sr 0.000 0.000 0.000
2 Sr 0.333 0.667 0.666
3 Sr 0.667 0.333 0.334
4 Al 0.000 0.000 0.500
5 Fe 0.333 0.667 0.172
6 Fe 0.667 0.333 0.828
7 O 0.000 0.500 0.000
8 O 0.164 0.329 0.337
9 O 0.164 0.836 0.337
10 O 0.329 0.164 0.663
11 O 0.500 0.000 0.000
12 O 0.500 0.500 0.000
13 O 0.671 0.836 0.337
14 O 0.836 0.164 0.663
15 O 0.836 0.671 0.663

=====

# Sr3AlFe2O6

A relaxed Sr3AlFe2O6 crystal (GGA+U, Alexandria via LeMat-Bulk).

Calculated values
The total energy comes out at -75.4 eV for the cell shown. The space-group type is P-3m1, No. 164.

Cell: 5.735 5.735 6.483 Å, 90.00 90.00 120.00°
Fractional positions:
1 Sr 0.000 0.000 0.000
2 Sr 0.333 0.667 0.639
3 Sr 0.667 0.333 0.361
4 Al 0.000 0.000 0.500
5 Fe 0.333 0.667 0.199
6 Fe 0.667 0.333 0.801
7 O 0.157 0.314 0.320
8 O 0.157 0.843 0.320
9 O 0.314 0.157 0.680
10 O 0.686 0.843 0.320
11 O 0.843 0.157 0.680
12 O 0.843 0.686 0.680

=====

# Sr2AlTlFe2O7

A relaxed Sr2AlTlFe2O7 crystal (GGA+U, Alexandria via LeMat-Bulk).

Calculated values
The total energy comes out at -78.7 eV for the cell shown. The space-group type is P4/mmm, No. 123.

Cell: 3.733 3.733 13.145 Å, 90.00 90.00 90.00°
Fractional positions:
1 Sr 0.000 0.000 0.186
2 Sr 0.000 0.000 0.814
3 Al 0.000 0.000 0.500
4 Tl 0.500 0.500 0.000
5 Fe 0.500 0.500 0.361
6 Fe 0.500 0.500 0.639
7 O 0.000 0.000 0.000
8 O 0.000 0.500 0.407
9 O 0.000 0.500 0.593
10 O 0.500 0.000 0.407
11 O 0.500 0.000 0.593
12 O 0.500 0.500 0.214
13 O 0.500 0.500 0.786

=====

# Al2FeTeO8

A relaxed Al2FeTeO8 crystal (GGA+U, Alexandria via LeMat-Bulk).

Calculated values
The total energy comes out at -77.3 eV for the cell shown. The space-group type is Cmmm, No. 65.

Cell: 4.490 4.490 5.885 Å, 90.00 90.00 92.32°
Fractional positions:
1 Al 0.000 0.000 0.241
2 Al 0.000 0.000 0.759
3 Fe 0.500 0.500 0.000
4 Te 0.500 0.500 0.500
5 O 0.188 0.188 0.500
6 O 0.196 0.196 0.000
7 O 0.305 0.695 0.248
8 O 0.305 0.695 0.752
9 O 0.695 0.305 0.248
10 O 0.695 0.305 0.752
11 O 0.804 0.804 0.000
12 O 0.812 0.812 0.500

=====

# AlTlFe2O

A relaxed AlTlFe2O crystal (GGA+U, Alexandria via LeMat-Bulk).

Calculated values
The total energy comes out at -16.8 eV for the cell shown. The space-group type is P4/mmm, No. 123.

Cell: 5.260 5.260 4.252 Å, 90.00 90.00 90.00°
Fractional positions:
1 Al 0.000 0.000 0.000
2 Tl 0.500 0.500 0.500
3 Fe 0.000 0.500 0.500
4 Fe 0.500 0.000 0.500
5 O 0.500 0.500 0.000

=====

# TmAlFeO4

A relaxed TmAlFeO4 crystal (GGA+U, Alexandria via LeMat-Bulk).

Calculated values
The total energy comes out at -105.1 eV for the cell shown. The space-group type is Imma, No. 74.

Cell: 6.148 6.148 6.148 Å, 121.14 117.94 90.82°
Fractional positions:
1 Tm 0.000 0.000 0.000
2 Tm 0.500 0.000 0.500
3 Al 0.375 0.625 0.750
4 Al 0.625 0.375 0.250
5 Fe 0.000 0.000 0.500
6 Fe 0.000 0.500 0.000
7 O 0.250 0.742 0.509
8 O 0.251 0.258 0.507
9 O 0.251 0.744 0.993
10 O 0.267 0.258 0.009
11 O 0.733 0.742 0.991
12 O 0.749 0.256 0.007
13 O 0.749 0.742 0.493
14 O 0.750 0.258 0.491